Record 1
A relaxed MgPIr2 crystal. Source: Alexandria via LeMat-Bulk, functional GGA-PBE.

Calculated values
Its symmetry is No. 119. For the formation energy, the calculation gives -0.06 eV/atom. The total energy comes out at -6.239 eV per atom.

a = 4.9504 Å, b = 4.9504 Å, c = 4.9504 Å
α = 136.32°, β = 136.32°, γ = 63.49°
With the nearest neighbours (Å) after each atom.
Element x y z (fractional)
Ir1 0.0000 0.0000 0.0000  4 Mg 2.60, 4 Ir 2.80, 4 P 2.80
Ir2 0.2500 0.7500 0.5000  4 P 2.60, 4 Ir 2.80, 4 Mg 2.80
Mg1 0.5000 0.5000 0.0000  8 Ir 2.60-2.80, 4 P 2.80
P1 0.7500 0.2500 0.5000  8 Ir 2.60-2.80, 4 Mg 2.80

***

Record 2
A relaxed AlAs2Br crystal. Source: Alexandria via LeMat-Bulk, functional GGA-PBE.

Calculated values
Its symmetry is No. 12. Its raw formation energy is 102 meV per atom. Its energy above the lowest structure with this stoichiometry is 125 kJ/mol of formula units. The total energy comes out at -3.577 eV per atom.

a = 5.9389 Å, b = 5.9389 Å, c = 5.0502 Å
α = 79.51°, β = 79.51°, γ = 33.47°
With the nearest neighbours (Å) after each atom.
Element x y z (fractional)
As1 0.0436 0.0436 0.8802  2 As 2.48
As2 0.4564 0.4564 0.6198  2 As 2.48
Al1 0.7500 0.7500 0.7500  4 As 2.88, 4 Br 3.05
Br1 0.2500 0.2500 0.2500  4 Al 3.05, 2 As 3.27